The following is a PBEsol calculation of crystalline CaLa2Mo at its relaxed geometry, from Alexandria.

Calculated values
Energy relative to the elements   485 meV per atom
ΔE to the lowest computed polymorph   0.196 eV/f.u.

Cell lengths 3.581, 3.581, 8.675 Å; angles 90.00, 90.00, 90.00 degrees
Fractional coordinates of all 4 atoms:
Ca 0.000 0.000 0.000
La 0.000 0.000 0.612
La 0.500 0.500 0.355
Mo 0.500 0.500 0.773

***

The following is a PBEsol calculation of crystalline CaLa2NiMo at its relaxed geometry, from Alexandria.

Calculated values
Energy relative to the elements   483 meV per atom

Cell lengths 5.456, 5.456, 4.652 Å; angles 90.00, 90.00, 90.00 degrees
Fractional coordinates of all 5 atoms:
Ca 0.000 0.000 0.000
La 0.000 0.500 0.500
La 0.500 0.000 0.500
Ni 0.500 0.500 0.000
Mo 0.500 0.500 0.500

***

The following is a PBEsol calculation of crystalline CaLaN3 at its relaxed geometry, from Alexandria.

Calculated values
ΔE_f (raw)   0.35 eV/atom

Cell lengths 4.343, 4.343, 4.343 Å; angles 90.00, 90.00, 90.00 degrees
Fractional coordinates of all 5 atoms:
Ca 0.000 0.000 0.000
La 0.500 0.500 0.500
N 0.000 0.500 0.500
N 0.500 0.000 0.500
N 0.500 0.500 0.000

***

The following is a PBEsol calculation of crystalline NaCa2LaN at its relaxed geometry, from Alexandria.

Calculated values
ΔE_f (raw)   0.05 eV/atom

Cell lengths 4.871, 4.871, 5.621 Å; angles 90.00, 90.00, 90.00 degrees
Fractional coordinates of all 5 atoms:
Na 0.000 0.000 0.000
Ca 0.000 0.500 0.500
Ca 0.500 0.000 0.500
La 0.500 0.500 0.000
N 0.000 0.000 0.500

***

Going through the records in order, we get raw total energy values of -5.6638 -5.6677 -6.2667 -3.8536 eV per atom.
Going through the records in order, we get mass density values of 6.2 5.7 4.5 3.2 g/cm3.